No. 1
Density functional theory data (PBE) for an optimized crystal structure of Cs3Tb2MnS6.

Cell lengths 6.9099, 6.9099, 8.3909 Å; angles 98.91, 98.91, 117.82 degrees
Closest atoms and distances in Å follow each position.
Fractional positions:
Cs: 0.0000 0.0000 0.0000  6 S 3.39-3.44
Cs: 0.3276 0.6724 0.0000  6 S 3.39-3.62
Cs: 0.6724 0.3276 0.0000  6 S 3.39-3.62
Tb: 0.1632 0.8368 0.5000  6 S 2.73-2.85
Tb: 0.8368 0.1632 0.5000  6 S 2.73-2.85
Mn: 0.5000 0.5000 0.5000  4 S 2.46
S: 0.1436 0.4435 0.3335  1 Mn 2.46
S: 0.2252 0.2252 0.6965  2 Tb 2.73, 1 Mn 2.92
S: 0.4435 0.1436 0.3335  1 Mn 2.46
S: 0.5565 0.8564 0.6665  1 Mn 2.46
S: 0.7748 0.7748 0.3035  2 Tb 2.73, 1 Mn 2.92
S: 0.8564 0.5565 0.6665  1 Mn 2.46

Total magnetic moment: 0.33 μB per atom
Uncorrected formation energy: -1.419 eV per atom

=====

No. 2
Density functional theory data (PBE) for an optimized crystal structure of HfScAg.

Cell lengths 4.5558, 8.9179, 8.9179 Å; angles 159.40, 90.00, 90.00 degrees
Closest atoms and distances in Å follow each position.
Fractional positions:
Hf: 0.2500 0.2142 0.7858  1 Ag 2.94, 6 Hf 3.05-3.19, 1 Sc 3.11
Hf: 0.7500 0.7858 0.2142  1 Ag 2.94, 6 Hf 3.05-3.19, 1 Sc 3.11
Sc: 0.2500 0.3885 0.6050  6 Ag 2.98-3.15, 3 Hf 3.11-3.34, 2 Sc 3.19
Sc: 0.7500 0.6050 0.3885  6 Ag 2.98-3.15, 3 Hf 3.11-3.34, 2 Sc 3.19
Ag: 0.2500 0.0423 0.9494  2 Ag 2.80, 1 Hf 2.94, 4 Sc 2.98-2.99
Ag: 0.7500 0.9494 0.0423  2 Ag 2.80, 1 Hf 2.94, 4 Sc 2.98-2.99

ΔH_f (0 K): -9.10 kJ per mole of atoms
Total magnetic moment: 0.00 μB per atom
Distance to the lowest polymorph of the same formula: 4.5 kJ per mole of atoms

=====

No. 3
Density functional theory data (PBE) for an optimized crystal structure of Ag2Pt2Rh.

Cell lengths 6.6049, 6.6049, 4.1128 Å; angles 90.00, 90.00, 90.00 degrees
Closest atoms and distances in Å follow each position.
Fractional positions:
Ag: 0.1678 0.3322 0.0000  6 Pt 2.75-2.88
Ag: 0.3322 0.8322 0.0000  6 Pt 2.75-2.88
Ag: 0.6678 0.1678 0.0000  6 Pt 2.75-2.88
Ag: 0.8322 0.6678 0.0000  6 Pt 2.75-2.88
Pt: 0.1363 0.6363 0.5000  1 Pt 2.55, 2 Rh 2.57, 2 Ag 2.75
Pt: 0.3637 0.1363 0.5000  1 Pt 2.55, 2 Rh 2.57, 2 Ag 2.75
Pt: 0.6363 0.8637 0.5000  1 Pt 2.55, 2 Rh 2.57, 2 Ag 2.75
Pt: 0.8637 0.3637 0.5000  1 Pt 2.55, 2 Rh 2.57, 2 Ag 2.75
Rh: 0.0000 0.0000 0.5000  4 Pt 2.57
Rh: 0.5000 0.5000 0.5000  4 Pt 2.57

ΔH_f (0 K): 34.58 kJ per mole of atoms
Total magnetic moment: 0.18 μB per atom
Distance to the lowest polymorph of the same formula: 0.0 kJ per mole of atoms

=====

No. 4
Density functional theory data (PBE) for an optimized crystal structure of BaPtW2.

Cell lengths 4.8135, 4.8135, 3.3154 Å; angles 90.00, 90.00, 90.00 degrees
Closest atoms and distances in Å follow each position.
Fractional positions:
Ba: 0.0000 0.0000 0.0000  8 W 2.92
Pt: 0.5000 0.5000 0.0000  8 W 2.92
W: 0.0000 0.5000 0.5000  4 Ba 2.92, 4 Pt 2.92
W: 0.5000 0.0000 0.5000  4 Ba 2.92, 4 Pt 2.92

ΔH_f (0 K): 145.81 kJ per mole of atoms
Total magnetic moment: 0.00 μB per atom
Distance to the lowest polymorph of the same formula: 104.7 kJ per mole of atoms

=====

No. 5
Density functional theory data (PBE) for an optimized crystal structure of Rb3Sn2Hg2Sb4.

Cell lengths 5.0803, 5.0803, 19.3481 Å; angles 90.00, 90.00, 120.00 degrees
Closest atoms and distances in Å follow each position.
Fractional positions:
Rb: 0.0000 0.0000 0.0000  6 Hg 3.97, 6 Sb 4.00
Rb: 0.0000 0.0000 0.2749  6 Sb 3.87-3.92, 3 Hg 3.95
Rb: 0.0000 0.0000 0.7251  6 Sb 3.87-3.92, 3 Hg 3.95
Sn: 0.3333 0.6667 0.5583  4 Sb 2.97-3.02
Sn: 0.6667 0.3333 0.4417  4 Sb 2.97-3.02
Hg: 0.3333 0.6667 0.1384  3 Sb 2.93
Hg: 0.6667 0.3333 0.8616  3 Sb 2.93
Sb: 0.3333 0.6667 0.4050  4 Sn 2.97-3.02
Sb: 0.3333 0.6667 0.8594  3 Hg 2.93
Sb: 0.6667 0.3333 0.1406  3 Hg 2.93
Sb: 0.6667 0.3333 0.5950  4 Sn 2.97-3.02

Total magnetic moment: 0.00 μB per atom
Uncorrected formation energy: -0.267 eV per atom

=====

No. 6
Density functional theory data (PBE) for an optimized crystal structure of Os2Br8N.

Cell lengths 7.8171, 7.8171, 6.9788 Å; angles 111.27, 111.27, 95.20 degrees
Closest atoms and distances in Å follow each position.
Fractional positions:
Os: 0.0781 0.0781 0.3299  1 N 1.77
Os: 0.9219 0.9219 0.6701  1 N 1.77
Br: 0.1478 0.7234 0.7100  1 Os 2.46
Br: 0.1827 0.1827 0.0552  2 Os 2.61-2.68
Br: 0.2766 0.8522 0.2900  1 Os 2.46
Br: 0.3420 0.3420 0.6423  1 Os 2.44
Br: 0.6580 0.6580 0.3577  1 Os 2.44
Br: 0.7234 0.1478 0.7100  1 Os 2.46
Br: 0.8173 0.8173 0.9448  2 Os 2.61-2.68
Br: 0.8522 0.2766 0.2900  1 Os 2.46
N: 0.0000 0.0000 0.5000  2 Os 1.77

Total magnetic moment: 0.00 μB per atom
Uncorrected formation energy: -0.128 eV per atom

=====

No. 7
Density functional theory data (PBE) for an optimized crystal structure of YScRe2.

Cell lengths 2.9028, 2.9028, 9.2182 Å; angles 90.00, 90.00, 110.05 degrees
Closest atoms and distances in Å follow each position.
Fractional positions:
Y: 0.0000 0.0000 0.0000  4 Y 2.90, 4 Re 2.92
Sc: 0.0000 0.0000 0.5000  4 Re 2.76, 4 Sc 2.90
Re: 0.5000 0.5000 0.2608  2 Sc 2.76, 4 Re 2.90, 2 Y 2.92
Re: 0.5000 0.5000 0.7392  2 Sc 2.76, 4 Re 2.90, 2 Y 2.92

ΔH_f (0 K): 28.12 kJ per mole of atoms
Total magnetic moment: 0.00 μB per atom
Distance to the lowest polymorph of the same formula: 32.6 kJ per mole of atoms

=====

No. 8
Density functional theory data (PBE) for an optimized crystal structure of Ba12MgIn7.

Cell lengths 10.6009, 10.6009, 10.6009 Å; angles 108.75, 108.75, 108.75 degrees
Closest atoms and distances in Å follow each position.
Fractional positions:
Ba: 0.0936 0.3041 0.3990  4 In 3.57-3.72, 1 Mg 3.97
Ba: 0.1407 0.6632 0.2968  3 In 3.47-3.72
Ba: 0.2968 0.1407 0.6632  3 In 3.47-3.72
Ba: 0.3041 0.3990 0.0936  4 In 3.57-3.72, 1 Mg 3.97
Ba: 0.3368 0.7032 0.8593  3 In 3.47-3.72
Ba: 0.3990 0.0936 0.3041  4 In 3.57-3.72, 1 Mg 3.97
Ba: 0.6010 0.9064 0.6959  4 In 3.57-3.72, 1 Mg 3.97
Ba: 0.6632 0.2968 0.1407  3 In 3.47-3.72
Ba: 0.6959 0.6010 0.9064  4 In 3.57-3.72, 1 Mg 3.97
Ba: 0.7032 0.8593 0.3368  3 In 3.47-3.72
Ba: 0.8593 0.3368 0.7032  3 In 3.47-3.72
Ba: 0.9064 0.6959 0.6010  4 In 3.57-3.72, 1 Mg 3.97
Mg: 0.0000 0.0000 0.0000  6 In 3.07
In: 0.0140 0.9181 0.2552  1 Mg 3.07, 2 In 3.29
In: 0.0819 0.7448 0.9860  1 Mg 3.07, 2 In 3.29
In: 0.2552 0.0140 0.9181  1 Mg 3.07, 2 In 3.29
In: 0.5000 0.5000 0.5000  6 Ba 3.72
In: 0.7448 0.9860 0.0819  1 Mg 3.07, 2 In 3.29
In: 0.9181 0.2552 0.0140  1 Mg 3.07, 2 In 3.29
In: 0.9860 0.0819 0.7448  1 Mg 3.07, 2 In 3.29

ΔH_f (0 K): -23.26 kJ per mole of atoms
Total magnetic moment: 0.08 μB per atom